# TmMgRuAu

TmMgRuAu after structural relaxation (PBE, the Alexandria database).

The formation energy from the elements comes out at -0.43 eV per atom. The value obtained for the total DFT energy (no corrections) is -20.3 eV for the cell shown.

a = 4.720 Å, b = 4.720 Å, c = 4.720 Å
α = 60.00°, β = 60.00°, γ = 60.00°
Atoms (fractional coordinates):
Ru (0.750, 0.750, 0.750)
Mg (0.000, 0.000, 0.000)
Tm (0.500, 0.500, 0.500)
Au (0.250, 0.250, 0.250)